Ac4RhPbI2 | PBE-GGA | optimized geometry

The value obtained for the energy relative to the elements, uncorrected is -0.866 eV/atom. The spin magnetization comes out at 0.0 μB/cell. The volume is 319.51 Å³ per cell.

It has space group P2/m (No. 10), with a = 8.369 Å, b = 4.530 Å, c = 8.795 Å, α = 90.00°, β = 106.60° and γ = 90.00°. The distinct sites, in fractional coordinates, are Ac at (0.207, 0.000, 0.190), Ac at (0.231, 0.500, 0.803), Rh at (0.000, 0.500, 0.000), Pb at (0.500, 0.000, 0.000), I at (0.000, 0.000, 0.500) and I at (0.500, 0.500, 0.500).

Ac3RhPbI | PBE-GGA | optimized geometry

The value obtained for the energy relative to the elements, uncorrected is -0.637 eV/atom. The spin magnetization comes out at 0.7 μB/cell. The volume is 430.91 Å³ per cell.

It has space group P2_1/m (No. 11), with a = 8.897 Å, b = 4.575 Å, c = 11.467 Å, α = 90.00°, β = 112.60° and γ = 90.00°. The distinct sites, in fractional coordinates, are Ac at (0.164, 0.250, 0.139), Ac at (0.311, 0.750, 0.501), Ac at (0.311, 0.750, 0.903), Rh at (0.086, 0.250, 0.868), Pb at (0.491, 0.750, 0.260) and I at (0.011, 0.250, 0.377).

Ac8Rh3PbI4 | PBE-GGA | optimized geometry

The value obtained for the energy relative to the elements, uncorrected is -0.911 eV/atom. The spin magnetization comes out at 0.0 μB/cell. The volume is 1834.50 Å³ per cell.

It has space group R-3m (No. 166, hexagonal axes), with a = 9.0910 Å, b = 9.0910 Å, c = 25.6295 Å, α = 90.00°, β = 90.00° and γ = 120.00°. The distinct sites, in fractional coordinates, are Ac at (0.0000, 0.0000, 0.2301), Ac at (0.0270, 0.5135, 0.7706), Rh at (0.0000, 0.5000, 0.5000), Pb at (0.0000, 0.0000, 0.5000), I at (0.0000, 0.0000, 0.0000) and I at (0.0000, 0.5000, 0.0000).

no.,electronic total energy (eV for the cell shown)
1,-37.52
2,-57.51
3,-238.24